CuNi9Pt2 (PBE, relaxed); total magnetization = 6.771 μB per cell; mass density = 11.45 g cm⁻³; energy of formation = -0.03 eV/atom; VASP energy = -5.7177 eV/atom
1.0
3.6334 0.0000 0.0000
0.0000 3.6334 0.0000
0.0000 0.0000 10.7830
Cu Ni Pt
1 9 2
direct
0.0000 0.0000 0.0000
0.0000 0.5000 0.1593
0.0000 0.5000 0.5000
0.0000 0.5000 0.8407
0.5000 0.0000 0.1593
0.5000 0.0000 0.5000
0.5000 0.0000 0.8407
0.5000 0.5000 0.0000
0.5000 0.5000 0.3292
0.5000 0.5000 0.6708
0.0000 0.0000 0.3292
0.0000 0.0000 0.6708